PBE Ac2Sn2Hg, relaxed; M_tot = 0.000 μB/atom; DOS(E_F) = 0.162 states/eV/atom; symmetry = C2/m; excess energy over the best structure of this formula in the dataset = 0.00 kcal/mol of atoms
1.0
-4.286 -0.431 2.605
-2.720 -6.154 -0.631
3.301 -2.972 9.803
Ac Hg Sn
4 2 4
Cartesian
-2.465 -2.702 5.224 Ac
-2.171 -4.619 0.527 Ac
-1.240 -6.855 6.553 Ac
-1.534 -4.938 11.249 Ac
-3.242 -5.325 3.511 Hg
-0.463 -4.231 8.265 Hg
-4.516 -5.910 6.181 Sn
0.812 -3.646 5.595 Sn
-2.193 -8.273 9.613 Sn
-1.512 -1.284 2.164 Sn